(1)
Ce3Pr2DyBi6 after structural relaxation. Source: the Alexandria database, functional PBE-GGA.

Structure (POSCAR):
```
Ce3Pr2DyBi6
1.0
3.979 -6.893 0.000
3.979 6.893 0.000
-2.657 0.000 7.504
Ce Pr Dy Bi
3 2 1 6
Direct
0.000 0.000 0.000 Ce
0.331 0.669 0.000 Ce
0.669 0.331 0.000 Ce
0.166 0.834 0.500 Pr
0.834 0.166 0.500 Pr
0.500 0.500 0.500 Dy
0.090 0.417 0.250 Bi
0.257 0.257 0.753 Bi
0.417 0.090 0.250 Bi
0.583 0.910 0.750 Bi
0.743 0.743 0.247 Bi
0.910 0.583 0.750 Bi
```

Computed properties:
**D(E_F)**: 20.184 states/eV per cell
**M_tot**: 2.56 μB/cell
**E_form**: -0.8591 eV/atom


(2)
Ce2PrDyBi5 after structural relaxation. Source: the Alexandria database, functional PBE-GGA.

Structure (POSCAR):
```
Ce2PrDyBi5
1.0
5.437 0.000 0.000
0.000 5.437 0.000
0.000 0.000 12.080
Ce Pr Dy Bi
2 1 1 5
Direct
0.000 0.000 0.221 Ce
0.000 0.000 0.779 Ce
0.500 0.500 0.500 Pr
0.500 0.500 0.000 Dy
0.000 0.000 0.500 Bi
0.000 0.500 0.000 Bi
0.500 0.000 0.000 Bi
0.500 0.500 0.249 Bi
0.500 0.500 0.751 Bi
```

Computed properties:
**D(E_F)**: 20.913 states/eV per cell
**M_tot**: 1.99 μB/cell
**E_form**: -0.1337 eV/atom


(3)
CeDyBiSb after structural relaxation. Source: the Alexandria database, functional PBE-GGA.

Structure (POSCAR):
```
CeDyBiSb
1.0
2.245 1.296 7.334
-2.245 1.296 7.334
0.000 -2.592 7.334
Ce Dy Bi Sb
1 1 1 1
Direct
0.000 0.000 0.000 Ce
0.504 0.504 0.504 Dy
0.754 0.754 0.754 Bi
0.250 0.250 0.250 Sb
```

Computed properties:
**D(E_F)**: 6.755 states/eV per cell
**M_tot**: 0.82 μB/cell
**Energy relative to the elements, uncorrected**: -0.96 eV/atom


(4)
CeDySc2Bi4 after structural relaxation. Source: the Alexandria database, functional PBE-GGA.

Structure (POSCAR):
```
CeDySc2Bi4
1.0
7.608 0.000 0.000
0.000 4.413 0.000
-2.549 0.000 7.198
Ce Dy Sc Bi
1 1 2 4
Direct
0.000 0.000 0.000 Ce
0.000 0.500 0.500 Dy
0.500 0.000 0.500 Sc
0.500 0.500 0.000 Sc
0.267 0.000 0.753 Bi
0.269 0.500 0.260 Bi
0.731 0.500 0.740 Bi
0.733 0.000 0.247 Bi
```

Computed properties:
**D(E_F)**: 7.422 states/eV per cell
**M_tot**: 0.77 μB/cell
**E_form**: -0.7359 eV/atom